First-principles (PBE with a Hubbard U) data for Be2NiAsO6 after structural relaxation, as listed in the Alexandria database.

Calculated values
* total magnetization: 11.9 μB per cell
* final energy: -0.437 Ry per atom

Geometry as CIF:
```
data_Be2NiAsO6
_cell_length_a 9.797
_cell_length_b 9.916
_cell_length_c 5.301
_cell_angle_alpha 90.00
_cell_angle_beta 112.73
_cell_angle_gamma 90.00
_space_group_name_H-M_alt 'C 1 2/c 1'
_space_group_IT_number 15
loop_
_space_group_symop_operation_xyz
'x,y,z'
'-x,-y,-z'
'-x,y,-z+1/2'
'x,-y,z+1/2'
'x+1/2,y+1/2,z'
'-x+1/2,-y+1/2,-z'
'-x+1/2,y+1/2,-z+1/2'
'x+1/2,-y+1/2,z+1/2'
loop_
_atom_site_label
_atom_site_type_symbol
_atom_site_fract_x
_atom_site_fract_y
_atom_site_fract_z
_atom_site_occupancy
Be1 Be 0.084 0.077 0.129 1
Ni1 Ni 0.000 0.407 0.250 1
As1 As 0.000 0.313 0.750 1
O1 O 0.092 0.237 0.063 1
O2 O 0.102 0.036 0.428 1
O3 O 0.114 0.422 0.664 1
```